Record 1
Compound: Sb2Au
Source: the Alexandria database
Functional: GGA-PBE
Structure: relaxed

Its magnetization is 0.00 μB per cell. The crystal system is hexagonal. Its formation energy from raw total energies is 0.1 eV/f.u. Its density of states at the Fermi level is 1.50 states/eV/f.u. The final energy comes out at -3.81 eV/atom.

The structure belongs to space group P6_3/mmc (No. 194); the cell edges are 4.0223, 4.0223 and 11.0714 Å and the angles 90.00°, 90.00° and 120.00°. Symmetry generates all atoms from Sb at (0.3333, 0.6667, 0.0978) and Au at (0.0000, 0.0000, 0.2500).



Record 2
Compound: La7Y
Source: the Alexandria database
Functional: GGA-PBE
Structure: relaxed

Its magnetization is 0.00 μB per cell. The crystal system is cubic. Its density of states at the Fermi level is 14.59 states/eV/f.u. The formation energy is 0.0077 eV per atom. The final energy comes out at -5.11 eV/atom.

The structure belongs to space group Fm-3m (No. 225); the cell edges are 10.507, 10.507 and 10.507 Å and the angles 90.00°, 90.00° and 90.00°. Symmetry generates all atoms from La at (0.000, 0.000, 0.000), La at (0.000, 0.250, 0.250) and Y at (0.000, 0.000, 0.500).



Record 3
Compound: ScSbSe2
Source: the Alexandria database
Functional: GGA-PBE
Structure: relaxed

Its magnetization is 0.00 μB per cell. The crystal system is trigonal. Its formation energy from raw total energies is -3.2 eV/f.u. Its density of states at the Fermi level is 2.21 states/eV/f.u. The final energy comes out at -5.15 eV/atom.

The structure belongs to space group R-3m (No. 166, hexagonal axes); the cell edges are 3.7010, 3.7010 and 24.7805 Å and the angles 90.00°, 90.00° and 120.00°. Symmetry generates all atoms from Sc at (0.0000, 0.0000, 0.0000), Sb at (0.0000, 0.0000, 0.5000) and Se at (0.0000, 0.0000, 0.2671).